(1)
## Cs2ZnGeO4 (PBE-GGA)

Data for a geometry-optimized Cs2ZnGeO4 structure.

Computed properties:
formation energy (no corrections): -1597 meV per atom
magnetization: 0.000 μB per formula unit
crystal system: orthorhombic
space group: Fddd, No. 70
Fermi-level density of states: 0.0 states/eV/cell

The structure in extended XYZ format:
```
16
Lattice="0.000 6.309 10.905 2.624 0.000 10.905 2.624 6.309 0.000" Properties=species:S:1:pos:R:3 pbc="T T T"
Cs 1.968 4.732 1.064
Cs 3.281 7.886 6.516
Cs 1.968 4.732 15.294
Cs 3.281 7.886 20.746
Zn 0.656 1.577 2.726
Zn 4.593 11.040 19.084
Ge 1.968 4.732 8.179
Ge 3.281 7.886 13.631
O 3.131 3.720 7.247
O 3.131 5.743 9.110
O 4.443 6.874 14.563
O 4.443 8.898 12.700
O 0.806 3.720 9.110
O 0.806 5.743 7.247
O 2.118 6.874 12.700
O 2.118 8.898 14.563
```

---

(2)
## CsGe3Os (PBE-GGA)

Data for a geometry-optimized CsGe3Os structure.

Computed properties:
offset from the most stable computed form: 0.000 eV per atom
magnetization: 0.000 μB per formula unit
crystal system: cubic
space group: Pm-3m, No. 221
Fermi-level density of states: 7.9 states/eV/cell
ΔH_f (0 K): 0.437 eV/atom

The structure in extended XYZ format:
```
5
Lattice="4.973 0.000 0.000 0.000 4.973 0.000 0.000 0.000 4.973" Properties=species:S:1:pos:R:3 pbc="T T T"
Cs 0.000 0.000 0.000
Ge 0.000 2.487 2.487
Ge 2.487 0.000 2.487
Ge 2.487 2.487 0.000
Os 2.487 2.487 2.487
```